Entry from Alexandria: a relaxed structure of Sr8Li2Tl (GGA-PBE).

The calculated formation energy is -0.56 eV/f.u. The value obtained for the relative energy among the computed polymorphs is 0.0 meV per atom. For the magnetic moment, the calculation gives 0.000 μB per atom.

The structure belongs to space group C2/m (No. 12); the cell edges are 20.771, 6.038 and 8.243 Å and the angles 90.00°, 108.45° and 90.00°. The asymmetric unit holds Sr at (0.026, 0.000, 0.289), Sr at (0.092, 0.500, 0.940), Sr at (0.163, 0.500, 0.466), Sr at (0.200, 0.000, 0.805), Li at (0.180, 0.000, 0.205) and Tl at (0.000, 0.500, 0.500).

***

Entry from Alexandria: a relaxed structure of Sr2Li9Tl6 (GGA-PBE).

The calculated formation energy is -2.80 eV/f.u. For the magnetic moment, the calculation gives 0.000 μB per atom.

The structure belongs to space group P6/mmm (No. 191); the cell edges are 6.0765, 6.0765 and 14.0793 Å and the angles 90.00°, 90.00° and 120.00°. The asymmetric unit holds Sr at (0.0000, 0.0000, 0.1628), Li at (0.0000, 0.5000, 0.0000), Li at (0.0000, 0.5000, 0.3356), Tl at (0.3333, 0.6667, 0.1666) and Tl at (0.3333, 0.6667, 0.5000).